Entry 1:
Tl6TeO12: optimized geometry, GGA-PBEsol.

Output
Formation energy without anion corrections, eV/atom: -0.80
E, eV for the cell shown: -97.51

Unit cell a=6.4396 b=6.4396 c=6.4396 alpha=97.88 beta=97.88 gamma=97.88
With the nearest neighbours (Å) after each atom.
Element x y z (fractional)
Tl (0.1089, 0.8049, 0.6362)  5 O 2.14-2.39
Tl (0.1951, 0.3638, 0.8911)  5 O 2.14-2.39
Tl (0.3638, 0.8911, 0.1951)  5 O 2.14-2.39
Tl (0.6362, 0.1089, 0.8049)  5 O 2.14-2.39
Tl (0.8049, 0.6362, 0.1089)  5 O 2.14-2.39
Tl (0.8911, 0.1951, 0.3638)  5 O 2.14-2.39
Te (0.5000, 0.5000, 0.5000)  6 O 1.96
O (0.0758, 0.8994, 0.3249)  4 Tl 2.14-2.39
O (0.1006, 0.6751, 0.9242)  4 Tl 2.14-2.39
O (0.2021, 0.4301, 0.5323)  1 Te 1.96
O (0.3249, 0.0758, 0.8994)  4 Tl 2.14-2.39
O (0.4301, 0.5323, 0.2021)  1 Te 1.96
O (0.4678, 0.7979, 0.5699)  1 Te 1.96
O (0.5322, 0.2021, 0.4301)  1 Te 1.96
O (0.5699, 0.4678, 0.7979)  1 Te 1.96
O (0.6751, 0.9242, 0.1006)  4 Tl 2.14-2.39
O (0.7979, 0.5699, 0.4678)  1 Te 1.96
O (0.8994, 0.3249, 0.0758)  4 Tl 2.14-2.39
O (0.9242, 0.1006, 0.6751)  4 Tl 2.14-2.39

***

Entry 2:
UTl2Te2O8: optimized geometry, GGA-PBEsol.

Output
Formation energy without anion corrections, eV/atom: -1.61
E, eV for the cell shown: -349.39

Unit cell a=5.3936 b=8.1056 c=21.2621 alpha=90.00 beta=102.53 gamma=90.00
With the nearest neighbours (Å) after each atom.
Element x y z (fractional)
U (0.0913, 0.1887, 0.3579)  2 O 1.88-1.90
U (0.0913, 0.3113, 0.8579)  2 O 1.88-1.90
U (0.9087, 0.6887, 0.1421)  2 O 1.88-1.90
U (0.9087, 0.8113, 0.6421)  2 O 1.88-1.90
Tl (0.0669, 0.6849, 0.3535)  1 O 2.42
Tl (0.0669, 0.8151, 0.8535)  1 O 2.42
Tl (0.2853, 0.0959, 0.5516)  2 O 2.56-2.81
Tl (0.2853, 0.4041, 0.0516)  2 O 2.56-2.81
Tl (0.7147, 0.5959, 0.9484)  2 O 2.56-2.81
Tl (0.7147, 0.9041, 0.4484)  2 O 2.56-2.81
Tl (0.9331, 0.1849, 0.1465)  1 O 2.42
Tl (0.9331, 0.3151, 0.6465)  1 O 2.42
Te (0.3251, 0.5566, 0.5517)  3 O 1.89-1.95
Te (0.3251, 0.9434, 0.0517)  3 O 1.89-1.95
Te (0.4982, 0.5671, 0.7628)  3 O 1.86-1.97
Te (0.4982, 0.9329, 0.2628)  3 O 1.86-1.97
Te (0.5018, 0.0671, 0.7372)  3 O 1.86-1.97
Te (0.5018, 0.4329, 0.2372)  3 O 1.86-1.97
Te (0.6749, 0.0566, 0.9483)  3 O 1.89-1.95
Te (0.6749, 0.4434, 0.4483)  3 O 1.89-1.95
O (0.0959, 0.6530, 0.6993)  1 U 1.90
O (0.0959, 0.8470, 0.1993)  1 U 1.90
O (0.1175, 0.7428, 0.5668)  1 Te 1.95
O (0.1175, 0.7572, 0.0668)  1 Te 1.95
O (0.1869, 0.5041, 0.1781)  1 Te 1.97, 1 U 2.14
O (0.1869, 0.9959, 0.6781)  1 Te 1.97, 1 U 2.14
O (0.2744, 0.0373, 0.4177)  1 U 1.88
O (0.2744, 0.4627, 0.9177)  1 U 1.88
O (0.3014, 0.1132, 0.2851)  1 Te 1.93
O (0.3014, 0.3868, 0.7851)  1 Te 1.93
O (0.3791, 0.1153, 0.8864)  1 Te 1.89
O (0.3791, 0.3847, 0.3864)  1 Te 1.89
O (0.4047, 0.6482, 0.4768)  1 Te 1.89
O (0.4047, 0.8518, 0.9768)  1 Te 1.89
O (0.4498, 0.7284, 0.8215)  1 Te 1.86
O (0.4498, 0.7716, 0.3215)  1 Te 1.86
O (0.5502, 0.2284, 0.6785)  1 Te 1.86
O (0.5502, 0.2716, 0.1785)  1 Te 1.86
O (0.5953, 0.1482, 0.0232)  1 Te 1.89
O (0.5953, 0.3518, 0.5232)  1 Te 1.89
O (0.6209, 0.6153, 0.6136)  1 Te 1.89
O (0.6209, 0.8847, 0.1136)  1 Te 1.89
O (0.6986, 0.6132, 0.2149)  1 Te 1.93
O (0.6986, 0.8868, 0.7149)  1 Te 1.93
O (0.7256, 0.5373, 0.0823)  1 U 1.88
O (0.7256, 0.9627, 0.5823)  1 U 1.88
O (0.8131, 0.0041, 0.3219)  1 Te 1.97, 1 U 2.14
O (0.8131, 0.4959, 0.8219)  1 Te 1.97, 1 U 2.14
O (0.8825, 0.2428, 0.9332)  1 Te 1.95
O (0.8825, 0.2572, 0.4332)  1 Te 1.95
O (0.9041, 0.1530, 0.8007)  1 U 1.90
O (0.9041, 0.3470, 0.3007)  1 U 1.90

***

Entry 3:
Tm2TeO6: optimized geometry, GGA-PBEsol.

Output
Polymorph energy (0 for the lowest one), meV per atom: 57
Formation energy without anion corrections, eV/atom: -2.58
E, eV for the cell shown: -136.16

Unit cell a=4.8853 b=4.8853 c=9.8617 alpha=90.00 beta=90.00 gamma=90.00
With the nearest neighbours (Å) after each atom.
Element x y z (fractional)
Tm (0.0000, 0.0000, 0.1655)  6 O 2.18-2.24
Tm (0.0000, 0.0000, 0.8345)  6 O 2.18-2.24
Tm (0.5000, 0.5000, 0.3345)  6 O 2.18-2.24
Tm (0.5000, 0.5000, 0.6655)  6 O 2.18-2.24
Te (0.0000, 0.0000, 0.5000)  6 O 1.94-1.95
Te (0.5000, 0.5000, 0.0000)  6 O 1.94-1.95
O (0.1849, 0.1849, 0.3518)  1 Te 1.94
O (0.1849, 0.1849, 0.6482)  1 Te 1.94
O (0.2184, 0.2184, 0.0000)  1 Te 1.95
O (0.2816, 0.7184, 0.5000)  1 Te 1.95
O (0.3151, 0.6849, 0.1482)  1 Te 1.94
O (0.3151, 0.6849, 0.8518)  1 Te 1.94
O (0.6849, 0.3151, 0.1482)  1 Te 1.94
O (0.6849, 0.3151, 0.8518)  1 Te 1.94
O (0.7184, 0.2816, 0.5000)  1 Te 1.95
O (0.7816, 0.7816, 0.0000)  1 Te 1.95
O (0.8151, 0.8151, 0.3518)  1 Te 1.94
O (0.8151, 0.8151, 0.6482)  1 Te 1.94

***

Entry 4:
Tm2TeO2: optimized geometry, GGA-PBEsol.

Output
Formation energy without anion corrections, eV/atom: -2.96
E, eV for the cell shown: -38.63

Unit cell a=3.7972 b=3.7972 c=7.0547 alpha=90.00 beta=90.00 gamma=120.00
With the nearest neighbours (Å) after each atom.
Element x y z (fractional)
Tm (0.3333, 0.6667, 0.3061)  4 O 2.21-2.25
Tm (0.6667, 0.3333, 0.6939)  4 O 2.21-2.25
Te (0.0000, 0.0000, 0.0000)  6 Tm 3.08
O (0.3333, 0.6667, 0.6197)  4 Tm 2.21-2.25
O (0.6667, 0.3333, 0.3803)  4 Tm 2.21-2.25

***

Entry 5:
Tm2TeO6: optimized geometry, GGA-PBEsol.

Output
Polymorph energy (0 for the lowest one), meV per atom: 9
Formation energy without anion corrections, eV/atom: -2.63
E, eV for the cell shown: -205.53

Unit cell a=8.9487 b=8.9487 c=5.0877 alpha=90.00 beta=90.00 gamma=120.00
With the nearest neighbours (Å) after each atom.
Element x y z (fractional)
Tm (0.0000, 0.3801, 0.0000)  6 O 2.18-2.30
Tm (0.0000, 0.7169, 0.5000)  6 O 2.16-2.28
Tm (0.2831, 0.2831, 0.5000)  6 O 2.16-2.28
Tm (0.3801, 0.0000, 0.0000)  6 O 2.18-2.30
Tm (0.6199, 0.6199, 0.0000)  6 O 2.18-2.30
Tm (0.7169, 0.0000, 0.5000)  6 O 2.16-2.28
Te (0.0000, 0.0000, 0.0000)  6 O 1.93
Te (0.3333, 0.6667, 0.5040)  6 O 1.94
Te (0.6667, 0.3333, 0.4960)  6 O 1.94
O (0.0785, 0.2033, 0.2147)  1 Te 1.93, 1 Tm 2.16
O (0.1247, 0.9215, 0.2147)  1 Te 1.93, 1 Tm 2.16
O (0.1297, 0.5869, 0.2874)  1 Te 1.94
O (0.2033, 0.0785, 0.7853)  1 Te 1.93, 1 Tm 2.16
O (0.2263, 0.4612, 0.7225)  1 Te 1.94
O (0.2348, 0.7737, 0.7225)  1 Te 1.94
O (0.4131, 0.5428, 0.2874)  1 Te 1.94
O (0.4572, 0.8703, 0.2874)  1 Te 1.94
O (0.4612, 0.2263, 0.2775)  1 Te 1.94
O (0.5388, 0.7652, 0.7225)  1 Te 1.94
O (0.5428, 0.4131, 0.7126)  1 Te 1.94
O (0.5869, 0.1297, 0.7126)  1 Te 1.94
O (0.7652, 0.5388, 0.2775)  1 Te 1.94
O (0.7737, 0.2348, 0.2775)  1 Te 1.94
O (0.7967, 0.8753, 0.2147)  1 Te 1.93, 1 Tm 2.16
O (0.8703, 0.4572, 0.7126)  1 Te 1.94
O (0.8753, 0.7967, 0.7853)  1 Te 1.93, 1 Tm 2.16
O (0.9215, 0.1247, 0.7853)  1 Te 1.93, 1 Tm 2.16

***

Entry 6:
Tm2TeO6: optimized geometry, GGA-PBEsol.

Output
Polymorph energy (0 for the lowest one), meV per atom: 0
Formation energy without anion corrections, eV/atom: -2.64
E, eV for the cell shown: -274.38

Unit cell a=5.1830 b=8.9327 c=9.7883 alpha=90.00 beta=90.00 gamma=90.00
With the nearest neighbours (Å) after each atom.
Element x y z (fractional)
Tm (0.0190, 0.1031, 0.4642)  6 O 2.18-2.36
Tm (0.0415, 0.2177, 0.8674)  7 O 2.20-2.41
Tm (0.4585, 0.7823, 0.3674)  7 O 2.20-2.41
Tm (0.4810, 0.8969, 0.9642)  6 O 2.18-2.36
Tm (0.5190, 0.3969, 0.5358)  6 O 2.18-2.36
Tm (0.5415, 0.2823, 0.1326)  7 O 2.20-2.41
Tm (0.9585, 0.7177, 0.6326)  7 O 2.20-2.41
Tm (0.9810, 0.6031, 0.0358)  6 O 2.18-2.36
Te (0.0387, 0.4945, 0.3500)  6 O 1.90-1.97
Te (0.4613, 0.5055, 0.8500)  6 O 1.90-1.97
Te (0.5387, 0.0055, 0.6500)  6 O 1.90-1.97
Te (0.9613, 0.9945, 0.1500)  6 O 1.90-1.97
O (0.0878, 0.8426, 0.0277)  1 Te 1.93
O (0.1708, 0.9491, 0.3042)  1 Te 1.90
O (0.1737, 0.6419, 0.8203)  1 Te 1.95
O (0.1898, 0.6437, 0.2349)  1 Te 1.91
O (0.2377, 0.1147, 0.0689)  1 Te 1.96
O (0.2452, 0.5877, 0.4957)  1 Te 1.97
O (0.2548, 0.4123, 0.9957)  1 Te 1.97
O (0.2623, 0.8853, 0.5689)  1 Te 1.96
O (0.3102, 0.3563, 0.7349)  1 Te 1.91
O (0.3263, 0.3581, 0.3203)  1 Te 1.95
O (0.3292, 0.0509, 0.8042)  1 Te 1.90
O (0.4122, 0.1574, 0.5277)  1 Te 1.93
O (0.5878, 0.6574, 0.9723)  1 Te 1.93
O (0.6708, 0.5509, 0.6958)  1 Te 1.90
O (0.6737, 0.8581, 0.1797)  1 Te 1.95
O (0.6898, 0.8563, 0.7651)  1 Te 1.91
O (0.7377, 0.3853, 0.9311)  1 Te 1.96
O (0.7452, 0.9123, 0.5043)  1 Te 1.97
O (0.7548, 0.0877, 0.0043)  1 Te 1.97
O (0.7623, 0.6147, 0.4311)  1 Te 1.96
O (0.8102, 0.1437, 0.2651)  1 Te 1.91
O (0.8263, 0.1419, 0.6797)  1 Te 1.95
O (0.8292, 0.4491, 0.1958)  1 Te 1.90
O (0.9122, 0.3426, 0.4723)  1 Te 1.93

***

Entry 7:
Tm2Te5O13: optimized geometry, GGA-PBEsol.

Output
Formation energy without anion corrections, eV/atom: -1.78
E, eV for the cell shown: -262.36

Unit cell a=6.8215 b=8.5129 c=10.3750 alpha=88.71 beta=87.10 gamma=74.96
With the nearest neighbours (Å) after each atom.
Element x y z (fractional)
Tm (0.0015, 0.2378, 0.2376)  6 O 2.15-2.29
Tm (0.4469, 0.9676, 0.8193)  7 O 2.23-2.46
Tm (0.5531, 0.0324, 0.1807)  7 O 2.23-2.46
Tm (0.9985, 0.7622, 0.7624)  6 O 2.15-2.29
Te (0.1317, 0.8481, 0.0992)  3 O 1.90-2.05
Te (0.1541, 0.3015, 0.6349)  3 O 1.89-1.95
Te (0.2669, 0.8996, 0.4769)  3 O 1.91-1.94
Te (0.2919, 0.3825, 0.9674)  3 O 1.91-1.98
Te (0.4374, 0.4071, 0.3054)  3 O 1.89-2.06
Te (0.5626, 0.5929, 0.6946)  3 O 1.89-2.06
Te (0.7081, 0.6175, 0.0326)  3 O 1.91-1.98
Te (0.7331, 0.1004, 0.5231)  3 O 1.91-1.94
Te (0.8459, 0.6985, 0.3651)  3 O 1.89-1.95
Te (0.8683, 0.1519, 0.9008)  3 O 1.90-2.05
O (0.0348, 0.8528, 0.5632)  1 Te 1.91
O (0.0578, 0.3182, 0.0339)  1 Te 1.91
O (0.0577, 0.5174, 0.6937)  1 Te 1.89
O (0.0684, 0.7733, 0.2820)  2 Te 1.95-2.05
O (0.1262, 0.9862, 0.8995)  1 Te 1.95
O (0.2376, 0.0016, 0.1832)  1 Te 1.90
O (0.3143, 0.2341, 0.2910)  1 Te 1.89
O (0.3257, 0.7265, 0.7763)  1 Te 1.89
O (0.3303, 0.2375, 0.7744)  1 Te 1.91
O (0.3343, 0.0172, 0.6152)  1 Te 1.91
O (0.3486, 0.4894, 0.1233)  2 Te 1.98-2.06
O (0.4554, 0.6920, 0.5134)  2 Te 1.94-2.13
O (0.4752, 0.1736, 0.9976)  1 Te 1.92
O (0.5248, 0.8264, 0.0024)  1 Te 1.92
O (0.5446, 0.3080, 0.4866)  2 Te 1.94-2.13
O (0.6514, 0.5106, 0.8767)  2 Te 1.98-2.06
O (0.6657, 0.9828, 0.3849)  1 Te 1.91
O (0.6697, 0.7625, 0.2256)  1 Te 1.91
O (0.6743, 0.2735, 0.2237)  1 Te 1.89
O (0.6857, 0.7659, 0.7090)  1 Te 1.89
O (0.7624, 0.9984, 0.8168)  1 Te 1.90
O (0.8738, 0.0138, 0.1005)  1 Te 1.95
O (0.9316, 0.2267, 0.7180)  2 Te 1.95-2.05
O (0.9423, 0.4826, 0.3063)  1 Te 1.89
O (0.9422, 0.6818, 0.9661)  1 Te 1.91
O (0.9652, 0.1472, 0.4368)  1 Te 1.91

***

Entry 8:
Tm2Te4O11: optimized geometry, GGA-PBEsol.

Output
Formation energy without anion corrections, eV/atom: -1.90
E, eV for the cell shown: -227.82

Unit cell a=6.5882 b=6.5882 c=15.8396 alpha=105.17 beta=105.17 gamma=45.02
With the nearest neighbours (Å) after each atom.
Element x y z (fractional)
Tm (0.1290, 0.6324, 0.9636)  7 O 2.20-2.42
Tm (0.3676, 0.8710, 0.5364)  7 O 2.20-2.42
Tm (0.6324, 0.1290, 0.4636)  7 O 2.20-2.42
Tm (0.8710, 0.3676, 0.0364)  7 O 2.20-2.42
Te (0.0926, 0.6618, 0.6282)  3 O 1.88-1.94
Te (0.0949, 0.6530, 0.2991)  3 O 1.86-2.04
Te (0.3382, 0.9074, 0.8718)  3 O 1.88-1.94
Te (0.3470, 0.9051, 0.2009)  3 O 1.86-2.04
Te (0.6530, 0.0949, 0.7991)  3 O 1.86-2.04
Te (0.6618, 0.0926, 0.1282)  3 O 1.88-1.94
Te (0.9051, 0.3470, 0.7009)  3 O 1.86-2.04
Te (0.9074, 0.3382, 0.3718)  3 O 1.88-1.94
O (0.0521, 0.9014, 0.4052)  1 Te 1.93
O (0.0986, 0.9479, 0.0948)  1 Te 1.93
O (0.1608, 0.2561, 0.9479)  1 Te 1.89
O (0.1868, 0.3090, 0.6293)  1 Te 1.94
O (0.2561, 0.1608, 0.4479)  1 Te 1.89
O (0.2821, 0.4124, 0.8313)  1 Te 1.86
O (0.3090, 0.1868, 0.1293)  1 Te 1.94
O (0.3290, 0.5375, 0.5448)  1 Te 1.88
O (0.3645, 0.6355, 0.2500)  2 Te 2.04
O (0.4124, 0.2821, 0.3313)  1 Te 1.86
O (0.4625, 0.6710, 0.9552)  1 Te 1.88
O (0.5375, 0.3290, 0.0448)  1 Te 1.88
O (0.5876, 0.7179, 0.6687)  1 Te 1.86
O (0.6355, 0.3645, 0.7500)  2 Te 2.04
O (0.6710, 0.4625, 0.4552)  1 Te 1.88
O (0.6910, 0.8132, 0.8707)  1 Te 1.94
O (0.7179, 0.5876, 0.1687)  1 Te 1.86
O (0.7439, 0.8392, 0.5521)  1 Te 1.89
O (0.8132, 0.6910, 0.3707)  1 Te 1.94
O (0.8392, 0.7439, 0.0521)  1 Te 1.89
O (0.9014, 0.0521, 0.9052)  1 Te 1.93
O (0.9479, 0.0986, 0.5948)  1 Te 1.93

***

| no. | mass density (g cm⁻³) |
| --- | --- |
| 1 | 9.9 |
| 2 | 7.5 |
| 3 | 7.9 |
| 4 | 9.4 |
| 5 | 7.9 |
| 6 | 8.2 |
| 7 | 6.8 |
| 8 | 7.3 |